No. 1
{
  "formula": "Nd2YSc",
  "functional": "GGA-PBE",
  "state": "relaxed",
  "cell": [[5.0572, 0.0000, 0.0000], [0.0000, 5.0572, 0.0000], [0.0000, 0.0000, 4.9280]],
  "species": ["Nd", "Nd", "Y", "Sc"],
  "frac_coords": [[0.0000, 0.5000, 0.0000], [0.5000, 0.0000, 0.0000], [0.0000, 0.0000, 0.5000], [0.5000, 0.5000, 0.5000]],
  "e_tot_ev_per_atom": -5.541
}


No. 2
{
  "formula": "Nd8Y2Sc",
  "functional": "GGA-PBE",
  "state": "relaxed",
  "cell": [[9.2326, -2.5644, 0.0000], [9.2326, 2.5644, 0.0000], [-2.1149, 0.0000, 7.8129]],
  "species": ["Nd", "Nd", "Nd", "Nd", "Nd", "Nd", "Nd", "Nd", "Y", "Y", "Sc"],
  "frac_coords": [[0.0451, 0.0451, 0.2314], [0.1353, 0.1353, 0.6800], [0.3198, 0.3198, 0.5896], [0.4101, 0.4101, 0.0526], [0.5899, 0.5899, 0.9474], [0.6802, 0.6802, 0.4104], [0.8647, 0.8647, 0.3200], [0.9549, 0.9549, 0.7686], [0.2258, 0.2258, 0.1343], [0.7742, 0.7742, 0.8657], [0.5000, 0.5000, 0.5000]],
  "e_tot_ev_per_atom": -5.192
}


No. 3
{
  "formula": "NdY3Sc2",
  "functional": "GGA-PBE",
  "state": "relaxed",
  "cell": [[-3.5231, 8.4817, 3.0894], [3.5231, -8.4817, 3.0894], [3.5231, 8.4817, -3.0894]],
  "species": ["Nd", "Nd", "Y", "Y", "Y", "Y", "Y", "Y", "Sc", "Sc", "Sc", "Sc"],
  "frac_coords": [[0.2726, 0.0226, 0.2500], [0.7274, 0.9774, 0.7500], [0.1876, 0.2493, 0.9383], [0.1890, 0.7507, 0.4383], [0.2265, 0.4765, 0.7500], [0.7735, 0.5235, 0.2500], [0.8111, 0.2493, 0.5617], [0.8124, 0.7507, 0.0617], [0.3556, 0.0000, 0.8556], [0.3556, 0.5000, 0.3556], [0.6444, 0.0000, 0.1444], [0.6444, 0.5000, 0.6444]],
  "e_tot_ev_per_atom": -5.986
}